Density functional theory data (PBE) for PuZr3N4 after structural relaxation.

Properties
The energy relative to the elements, uncorrected comes out at -1.592 eV per atom. As for the energy above the most stable polymorph in this dataset: 24 meV/atom. As for the symmetry: P6_3/mmc. The electronic total energy is -0.395 hartree per atom. The calculation puts the density of states at the Fermi level at 9.52 states/eV/f.u. As for the mass density: 9.23 g/cm3.

abc: 3.296 3.296 21.927
angles: 90.00 90.00 120.00
Atoms (fractional coordinates):
Pu (0.333, 0.667, 0.250)
Pu (0.667, 0.333, 0.750)
Zr (0.000, 0.000, 0.000)
Zr (0.000, 0.000, 0.500)
Zr (0.333, 0.667, 0.621)
Zr (0.333, 0.667, 0.879)
Zr (0.667, 0.333, 0.121)
Zr (0.667, 0.333, 0.379)
N (0.000, 0.000, 0.179)
N (0.000, 0.000, 0.321)
N (0.000, 0.000, 0.679)
N (0.000, 0.000, 0.821)
N (0.333, 0.667, 0.060)
N (0.333, 0.667, 0.440)
N (0.667, 0.333, 0.560)
N (0.667, 0.333, 0.940)